A relaxed structure of Sm12Er2Sc. Source: the Alexandria database, functional PBE.

The value obtained for the energy relative to the elements is 0.170 eV/atom. The final energy comes out at -4.636 eV/atom.

The space group is Cmme (No. 67) and the conventional cell measures 7.1413, 11.4308 and 24.5863 Å, with angles of 90.00, 90.00 and 90.00 degrees. The asymmetric unit holds Sm at (0.0000, 0.0010, 0.0724), Sm at (0.0000, 0.0232, 0.5607), Sm at (0.2320, 0.2500, 0.4127), Sm at (0.2491, 0.2500, 0.8750), Sm at (0.2500, 0.0000, 0.1968), Sm at (0.2500, 0.0000, 0.3235), Er at (0.0000, 0.2500, 0.2636), Er at (0.0000, 0.2500, 0.7323) and Sc at (0.0000, 0.2500, 0.9997).

***

A relaxed structure of Ho3Au5. Source: the Alexandria database, functional PBE.

The value obtained for the energy relative to the elements is -0.821 eV/atom. The final energy comes out at -4.586 eV/atom.

The space group is P-62m (No. 189) and the conventional cell measures 7.4473, 7.4473 and 3.7087 Å, with angles of 90.00, 90.00 and 120.00 degrees. The asymmetric unit holds Ho at (0.0000, 0.3809, 0.0000), Au at (0.0000, 0.7680, 0.5000) and Au at (0.3333, 0.6667, 0.5000).

***

A relaxed structure of TlNiW3. Source: the Alexandria database, functional PBE.

The value obtained for the energy relative to the elements is 1.562 eV/atom. The final energy comes out at -7.840 eV/atom. As for the energy above the most stable polymorph in this dataset: 0 meV per atom.

The space group is Pm-3m (No. 221) and the conventional cell measures 4.5391, 4.5391 and 4.5391 Å, with angles of 90.00, 90.00 and 90.00 degrees. The asymmetric unit holds Tl at (0.0000, 0.0000, 0.0000), Ni at (0.5000, 0.5000, 0.5000) and W at (0.0000, 0.5000, 0.5000).

***

A relaxed structure of LaPmCCl. Source: the Alexandria database, functional PBE.

The final energy comes out at -6.218 eV/atom.

The space group is R3m (No. 160, hexagonal axes) and the conventional cell measures 3.7691, 3.7691 and 22.0363 Å, with angles of 90.00, 90.00 and 120.00 degrees. The asymmetric unit holds La at (0.0000, 0.0000, 0.0000), Pm at (0.0000, 0.0000, 0.7939), C at (0.0000, 0.0000, 0.3992) and Cl at (0.0000, 0.0000, 0.2242).

***

A relaxed structure of OsIOF2. Source: the Alexandria database, functional PBE.

The final energy comes out at -3.449 eV/atom. As for the energy above the most stable polymorph in this dataset: 1236 meV per atom.

The space group is P4/mmm (No. 123) and the conventional cell measures 4.9405, 4.9405 and 4.0048 Å, with angles of 90.00, 90.00 and 90.00 degrees. The asymmetric unit holds Os at (0.0000, 0.0000, 0.0000), I at (0.5000, 0.5000, 0.5000), O at (0.5000, 0.5000, 0.0000) and F at (0.0000, 0.5000, 0.5000).

***

A relaxed structure of Nd2SbN. Source: the Alexandria database, functional PBE.

The final energy comes out at -6.748 eV/atom. As for the energy above the most stable polymorph in this dataset: 0 meV per atom.

The space group is P4/nmm (No. 129, origin choice 2) and the conventional cell measures 4.7043, 4.7043 and 9.2852 Å, with angles of 90.00, 90.00 and 90.00 degrees. The asymmetric unit holds Nd at (0.2500, 0.2500, 0.1709), Nd at (0.2500, 0.7500, 0.5000), Sb at (0.2500, 0.2500, 0.8045) and N at (0.2500, 0.2500, 0.4164).

***

A relaxed structure of YZnH3. Source: the Alexandria database, functional PBE.

The final energy comes out at -3.555 eV/atom.

The space group is Pm-3m (No. 221) and the conventional cell measures 3.7084, 3.7084 and 3.7084 Å, with angles of 90.00, 90.00 and 90.00 degrees. The asymmetric unit holds Y at (0.0000, 0.0000, 0.0000), Zn at (0.5000, 0.5000, 0.5000) and H at (0.0000, 0.5000, 0.5000).

***

A relaxed structure of ZnIn2Se. Source: the Alexandria database, functional PBE.

The final energy comes out at -2.716 eV/atom. As for the energy above the most stable polymorph in this dataset: 14 meV per atom.

The space group is R-3m (No. 166, hexagonal axes) and the conventional cell measures 3.9387, 3.9387 and 21.9443 Å, with angles of 90.00, 90.00 and 120.00 degrees. The asymmetric unit holds Zn at (0.0000, 0.0000, 0.0000), In at (0.0000, 0.0000, 0.2506) and Se at (0.0000, 0.0000, 0.5000).

***

A relaxed structure of KSrSi2. Source: the Alexandria database, functional PBE.

The final energy comes out at -3.535 eV/atom. As for the energy above the most stable polymorph in this dataset: 49 meV per atom.

The space group is C2/m (No. 12) and the conventional cell measures 11.3115, 3.9910 and 8.1750 Å, with angles of 90.00, 128.40 and 90.00 degrees. The asymmetric unit holds K at (0.0000, 0.0000, 0.0000), Sr at (0.0000, 0.5000, 0.5000) and Si at (0.2453, 0.0000, 0.5769).

***

A relaxed structure of LaCe3Th4Se8. Source: the Alexandria database, functional PBE.

The final energy comes out at -6.724 eV/atom.

The space group is R-3m (No. 166, hexagonal axes) and the conventional cell measures 8.3671, 8.3671 and 20.9544 Å, with angles of 90.00, 90.00 and 120.00 degrees. The asymmetric unit holds La at (0.0000, 0.0000, 0.0000), Ce at (0.0000, 0.5000, 0.0000), Th at (0.0000, 0.0000, 0.5000), Th at (0.0000, 0.5000, 0.5000), Se at (0.0000, 0.0000, 0.2510) and Se at (0.0029, 0.5014, 0.2502).

***

A relaxed structure of NiTeP2Pt. Source: the Alexandria database, functional PBE.

The final energy comes out at -5.228 eV/atom. As for the energy above the most stable polymorph in this dataset: 228 meV per atom.

The space group is P1 (No. 1) and the conventional cell measures 3.2931, 3.4639 and 8.6853 Å, with angles of 88.16, 79.23 and 61.70 degrees. The asymmetric unit holds Ni at (0.0000, 0.0000, 0.0000), Te at (0.8008, 0.6148, 0.7806), P at (0.0456, 0.5603, 0.3499), P at (0.6063, 0.6525, 0.1383) and Pt at (0.6427, 0.2144, 0.5034).

***

A relaxed structure of Sr2ScNi. Source: the Alexandria database, functional PBE.

The value obtained for the energy relative to the elements is 0.508 eV/atom. The final energy comes out at -3.361 eV/atom. As for the energy above the most stable polymorph in this dataset: 484 meV per atom.

The space group is I-4m2 (No. 119) and the conventional cell measures 4.6921, 4.6921 and 10.7787 Å, with angles of 90.00, 90.00 and 90.00 degrees. The asymmetric unit holds Sr at (0.0000, 0.0000, 0.0000), Sr at (0.0000, 0.5000, 0.2500), Sc at (0.0000, 0.0000, 0.5000) and Ni at (0.0000, 0.5000, 0.7500).

***

What did the seventh record say?
A relaxed structure of YZnH3. Source: the Alexandria database, functional PBE.

The final energy comes out at -3.555 eV/atom.

The space group is Pm-3m (No. 221) and the conventional cell measures 3.7084, 3.7084 and 3.7084 Å, with angles of 90.00, 90.00 and 90.00 degrees. The asymmetric unit holds Y at (0.0000, 0.0000, 0.0000), Zn at (0.5000, 0.5000, 0.5000) and H at (0.0000, 0.5000, 0.5000).